! PBE NaSrUF6, optimized geometry; values from VASP
&SYSTEM
  ibrav = 0, nat = 18, ntyp = 4
/
ATOMIC_SPECIES
F 19.00 F.upf
Sr 87.62 Sr.upf
Na 22.99 Na.upf
U 238.03 U.upf
CELL_PARAMETERS angstrom
6.4083 0.0000 0.0000
-3.2041 5.5497 0.0000
0.0000 0.0000 9.1075
ATOMIC_POSITIONS crystal
F 0.9850 0.3352 0.1268
Sr 0.6667 0.3333 0.7500
F 0.3352 0.3502 0.8732
Na 0.0000 0.0000 0.0000
F 0.3502 0.3352 0.3732
F 0.0150 0.3502 0.6268
F 0.0150 0.6648 0.8732
F 0.3352 0.9850 0.6268
F 0.9850 0.6498 0.3732
F 0.6498 0.6648 0.6268
Na 0.0000 0.0000 0.5000
F 0.6498 0.9850 0.8732
Sr 0.3333 0.6667 0.2500
F 0.3502 0.0150 0.1268
F 0.6648 0.6498 0.1268
U 0.3333 0.6667 0.7500
F 0.6648 0.0150 0.3732
U 0.6667 0.3333 0.2500
! ΔE_f (raw): -3.306 eV per atom

---

! PBE YHg3, optimized geometry; values from VASP
&SYSTEM
  ibrav = 0, nat = 8, ntyp = 2
/
ATOMIC_SPECIES
Y 88.91 Y.upf
Hg 200.59 Hg.upf
CELL_PARAMETERS angstrom
-1.6901 -1.0770 4.6171
6.0939 -1.9986 1.7644
-1.7920 6.3522 0.8258
ATOMIC_POSITIONS crystal
Y 0.7500 0.3332 0.6668
Hg 0.7500 0.8344 0.1656
Hg 0.2500 0.1656 0.8344
Hg 0.2500 0.1658 0.3313
Hg 0.2500 0.6687 0.8342
Hg 0.7500 0.8342 0.6687
Hg 0.7500 0.3313 0.1658
Y 0.2500 0.6668 0.3332
! calculated formation energy: -34.5 kJ/mol of atoms

---

! PBE KRb2InF, optimized geometry; values from VASP
&SYSTEM
  ibrav = 0, nat = 5, ntyp = 4
/
ATOMIC_SPECIES
F 19.00 F.upf
In 114.82 In.upf
Rb 85.47 Rb.upf
K 39.10 K.upf
CELL_PARAMETERS angstrom
5.8093 0.0000 0.0000
0.0000 5.8093 0.0000
0.0000 0.0000 5.6105
ATOMIC_POSITIONS crystal
F 0.0000 0.0000 0.0000
In 0.5000 0.5000 0.5000
Rb 0.0000 0.5000 0.0000
K 0.0000 0.0000 0.5000
Rb 0.5000 0.0000 0.0000
! ΔE_f (raw): -0.990 eV per atom

---

Here is a relaxed structure of Pr2NiH8 from the Alexandria database. Energies are from PBE. Values from VASP.

```
&SYSTEM
  ibrav = 0, nat = 11, ntyp = 3
/
ATOMIC_SPECIES
Pr 140.91 Pr.upf
H 1.01 H.upf
Ni 58.69 Ni.upf
CELL_PARAMETERS angstrom
3.9174 0.0000 0.0000
0.0000 4.3872 -0.1415
-1.9587 -1.9991 6.4129
ATOMIC_POSITIONS crystal
Pr 0.8553 0.3554 0.7106
H 0.0000 0.2281 0.0001
Ni 0.5000 0.0000 0.0000
H 0.0000 0.7719 0.9999
H 0.7630 0.7619 0.5259
H 0.5977 0.8776 0.1954
H 0.4023 0.1224 0.8046
H 0.2370 0.2381 0.4741
H 0.4059 0.6721 0.8118
Pr 0.1447 0.6446 0.2894
H 0.5941 0.3279 0.1882
```

---

! PBE Ca2Si2Ge, optimized geometry; values from VASP
&SYSTEM
  ibrav = 0, nat = 5, ntyp = 3
/
ATOMIC_SPECIES
Si 28.09 Si.upf
Ca 40.08 Ca.upf
Ge 72.64 Ge.upf
CELL_PARAMETERS angstrom
4.8694 0.0000 0.0000
0.0000 4.8694 0.0000
2.4347 2.4347 5.5886
ATOMIC_POSITIONS crystal
Si 0.4012 0.4012 0.1977
Ca 0.2500 0.7500 0.5000
Ca 0.7500 0.2500 0.5000
Si 0.5988 0.5988 0.8023
Ge 0.0000 0.0000 0.0000
! energy above the lowest structure with this stoichiometry: 0.578 eV/atom
! ΔE_f (raw): 0.167 eV per atom

---

! PBE Ca2CoPb, optimized geometry; values from VASP
&SYSTEM
  ibrav = 0, nat = 4, ntyp = 3
/
ATOMIC_SPECIES
Pb 207.20 Pb.upf
Co 58.93 Co.upf
Ca 40.08 Ca.upf
CELL_PARAMETERS angstrom
4.4269 0.0000 0.0000
0.0000 4.4648 0.0007
0.0000 2.2326 5.5636
ATOMIC_POSITIONS crystal
Pb 0.5000 0.5640 0.7469
Co 0.0000 0.6887 0.4977
Ca 0.5000 0.2693 0.3363
Ca 0.0000 0.9779 0.9191
! calculated formation energy: -2.1 kJ/mol of atoms

---

! PBE Rb2CuHgI6, optimized geometry; values from VASP
&SYSTEM
  ibrav = 0, nat = 10, ntyp = 4
/
ATOMIC_SPECIES
I 126.90 I.upf
Rb 85.47 Rb.upf
Cu 63.55 Cu.upf
Hg 200.59 Hg.upf
CELL_PARAMETERS angstrom
-5.2708 7.6943 -2.0730
-6.4617 1.5603 -6.6681
-9.4164 1.4862 0.4990
ATOMIC_POSITIONS crystal
I 0.0355 0.5693 0.2440
I 0.5968 0.0633 0.8592
Rb 0.6009 0.5461 0.3359
Rb 0.0314 0.0863 0.7674
I 0.1245 0.0628 0.3317
I 0.5915 0.1476 0.3261
Cu 0.3164 0.3160 0.0517
Hg 0.8161 0.8152 0.5512
I 0.5079 0.5699 0.7714
I 0.0407 0.4852 0.7767
! ΔE_f (raw): -0.685 eV per atom

---

! PBE ScVSi2, optimized geometry; values from VASP
&SYSTEM
  ibrav = 0, nat = 4, ntyp = 3
/
ATOMIC_SPECIES
Sc 44.96 Sc.upf
Si 28.09 Si.upf
V 50.94 V.upf
CELL_PARAMETERS angstrom
-4.4382 0.6056 0.0042
-2.0838 1.3206 -3.7388
-2.6517 -2.8524 -2.2129
ATOMIC_POSITIONS crystal
Sc 0.0000 0.0000 0.0000
Si 0.7500 0.7500 0.7500
Si 0.2500 0.2500 0.2500
V 0.5000 0.5000 0.5000
! energy above the lowest structure with this stoichiometry: 0.000 eV/atom
! ΔE_f (raw): -0.202 eV per atom

---

! PBE CaCdGa2Ag4, optimized geometry; values from VASP
&SYSTEM
  ibrav = 0, nat = 8, ntyp = 4
/
ATOMIC_SPECIES
Ga 69.72 Ga.upf
Ag 107.87 Ag.upf
Ca 40.08 Ca.upf
Cd 112.41 Cd.upf
CELL_PARAMETERS angstrom
-1.6107 1.0305 -4.2329
-2.2226 -3.2308 -2.4891
-8.8113 1.7709 1.2356
ATOMIC_POSITIONS crystal
Ga 0.2550 0.2550 0.2351
Ag 0.1248 0.1248 0.6257
Ga 0.7450 0.7450 0.7649
Ag 0.8752 0.8752 0.3743
Ca 0.0000 0.0000 0.0000
Ag 0.3937 0.3937 0.8188
Ag 0.6063 0.6063 0.1812
Cd 0.5000 0.5000 0.5000
! calculated formation energy: -11.3 kJ/mol of atoms

---

Here is a relaxed structure of CaYBH2 from the Alexandria database. Energies are from PBE. Values from VASP.

```
&SYSTEM
  ibrav = 0, nat = 5, ntyp = 4
/
ATOMIC_SPECIES
B 10.81 B.upf
Ca 40.08 Ca.upf
H 1.01 H.upf
Y 88.91 Y.upf
CELL_PARAMETERS angstrom
4.1688 0.0000 0.0000
0.0000 4.9226 0.0000
0.0000 0.0000 4.1688
ATOMIC_POSITIONS crystal
B 0.0000 0.5000 0.0000
Ca 0.5000 0.5000 0.5000
H 0.0000 0.0000 0.5000
H 0.5000 0.0000 0.0000
Y 0.0000 0.0000 0.0000
```

---

! PBE HfNpRh4, optimized geometry; values from VASP
&SYSTEM
  ibrav = 0, nat = 6, ntyp = 3
/
ATOMIC_SPECIES
Np 237.00 Np.upf
Rh 102.91 Rh.upf
Hf 178.49 Hf.upf
CELL_PARAMETERS angstrom
5.2556 0.0000 0.0000
2.6278 4.5515 0.0000
2.6278 1.5172 4.2912
ATOMIC_POSITIONS crystal
Np 0.0000 0.0000 0.0000
Rh 0.6248 0.6248 0.1257
Rh 0.1257 0.6248 0.6248
Rh 0.6248 0.6248 0.6248
Rh 0.6248 0.1257 0.6248
Hf 0.2500 0.2500 0.2500
! calculated formation energy: -42.0 kJ/mol of atoms
! energy above the lowest structure with this stoichiometry: 0.000 eV/atom

---

! PBE Mg7Ga4Ag, optimized geometry; values from VASP
&SYSTEM
  ibrav = 0, nat = 12, ntyp = 3
/
ATOMIC_SPECIES
Mg 24.30 Mg.upf
Ga 69.72 Ga.upf
Ag 107.87 Ag.upf
CELL_PARAMETERS angstrom
-0.4503 2.3042 4.5677
4.9948 -3.8221 5.3076
4.7545 5.0137 0.8267
ATOMIC_POSITIONS crystal
Mg 0.5000 0.0000 0.0000
Ga 0.5629 0.2233 0.6509
Mg 0.2177 0.1311 0.4336
Ga 0.4371 0.7767 0.3491
Mg 0.3352 0.6062 0.7234
Ga 0.3026 0.3451 0.0497
Ag 0.0000 0.0000 0.0000
Ga 0.6974 0.6550 0.9503
Mg 0.7823 0.8689 0.5664
Mg 0.9308 0.3312 0.8072
Mg 0.0692 0.6688 0.1928
Mg 0.6648 0.3938 0.2766
! calculated formation energy: -1.5 kJ/mol of atoms

---

Record-wise volume values, in Å³/f.u.: 161.95, 96.37, 189.34, 109.11, 132.51, 109.96, 441.04, 63.55, 161.92, 85.55, 102.65, 259.43
Record-wise VASP energy values, in eV/atom: -6.141, -2.200, -2.518, -4.108, -3.726, -3.726, -2.248, -6.776, -2.664, -4.255, -9.152, -2.192